No. 1
! Pm4SmHo15 GGA-PBE relaxed; values from VASP
&SYSTEM
  ibrav = 0, nat = 20, ntyp = 3
/
ATOMIC_SPECIES
Pm 145.00 Pm.upf
Sm 150.36 Sm.upf
Ho 164.93 Ho.upf
ATOMIC_POSITIONS crystal
Pm 0.000 0.000 0.100
Pm 0.000 0.000 0.300
Pm 0.000 0.000 0.700
Pm 0.000 0.000 0.900
Sm 0.000 0.000 0.500
Ho 0.000 0.500 0.000
Ho 0.000 0.500 0.200
Ho 0.000 0.500 0.400
Ho 0.000 0.500 0.600
Ho 0.000 0.500 0.800
Ho 0.500 0.000 0.000
Ho 0.500 0.000 0.200
Ho 0.500 0.000 0.400
Ho 0.500 0.000 0.600
Ho 0.500 0.000 0.800
Ho 0.500 0.500 0.100
Ho 0.500 0.500 0.300
Ho 0.500 0.500 0.500
Ho 0.500 0.500 0.700
Ho 0.500 0.500 0.900
CELL_PARAMETERS angstrom
5.030 0.000 0.000
0.000 5.030 0.000
0.000 0.000 25.071
! Energy of formation ... 0.020 eV per atom
! Density of states at the Fermi level ... 26.55 states/eV/f.u.
! Space group ... P4/mmm (123)

=====

No. 2
! NaTaOs2 GGA-PBE relaxed; values from VASP
&SYSTEM
  ibrav = 0, nat = 8, ntyp = 3
/
ATOMIC_SPECIES
Na 22.99 Na.upf
Ta 180.95 Ta.upf
Os 190.23 Os.upf
ATOMIC_POSITIONS crystal
Na 0.000 0.000 0.000
Na 0.750 0.250 0.500
Ta 0.250 0.750 0.500
Ta 0.500 0.500 0.000
Os 0.155 0.625 0.030
Os 0.375 0.405 0.530
Os 0.595 0.125 0.970
Os 0.875 0.845 0.470
CELL_PARAMETERS angstrom
-3.660 3.660 2.713
3.660 -3.660 2.713
3.660 3.660 -2.713
! Energy of formation ... 1.058 eV per atom
! Density of states at the Fermi level ... 3.95 states/eV/f.u.
! Space group ... I-42d (122)

=====

No. 3
! PmBe2PdPt2 GGA-PBE relaxed; values from VASP
&SYSTEM
  ibrav = 0, nat = 6, ntyp = 4
/
ATOMIC_SPECIES
Pm 145.00 Pm.upf
Be 9.01 Be.upf
Pd 106.42 Pd.upf
Pt 195.08 Pt.upf
ATOMIC_POSITIONS crystal
Pm 0.000 0.000 0.000
Be 0.322 0.322 0.000
Be 0.678 0.678 0.000
Pd 0.500 0.500 0.000
Pt 0.250 0.750 0.500
Pt 0.750 0.250 0.500
CELL_PARAMETERS angstrom
-2.054 2.054 6.115
2.054 -2.054 6.115
2.054 2.054 -6.115
! Energy of formation ... -0.611 eV per atom
! Density of states at the Fermi level ... 1.55 states/eV/f.u.
! Space group ... I4/mmm (139)

=====

No. 4
! NaTeIr2W GGA-PBE relaxed; values from VASP
&SYSTEM
  ibrav = 0, nat = 5, ntyp = 4
/
ATOMIC_SPECIES
Na 22.99 Na.upf
Te 127.60 Te.upf
Ir 192.22 Ir.upf
W 183.84 W.upf
ATOMIC_POSITIONS crystal
Na 0.000 0.000 0.000
Te 0.500 0.500 0.500
Ir 0.000 0.500 0.500
Ir 0.500 0.000 0.500
W 0.500 0.500 0.000
CELL_PARAMETERS angstrom
4.916 0.000 0.000
0.000 4.916 0.000
0.000 0.000 5.004
! Density of states at the Fermi level ... 5.33 states/eV/f.u.
! Space group ... P4/mmm (123)
! ΔE_f (raw) ... 1688 meV/atom

=====

No. 5
! ScReOs2 GGA-PBE relaxed; values from VASP
&SYSTEM
  ibrav = 0, nat = 4, ntyp = 3
/
ATOMIC_SPECIES
Sc 44.96 Sc.upf
Re 186.21 Re.upf
Os 190.23 Os.upf
ATOMIC_POSITIONS crystal
Sc 0.000 0.000 0.000
Re 0.000 0.000 0.500
Os 0.500 0.500 0.255
Os 0.500 0.500 0.745
CELL_PARAMETERS angstrom
1.529 -2.299 0.000
1.529 2.299 0.000
0.000 0.000 8.871
! Energy of formation ... 0.242 eV per atom
! Density of states at the Fermi level ... 4.04 states/eV/f.u.
! Space group ... Cmmm (65)

=====

No. 6
! RbHf2Sc2 GGA-PBE relaxed; values from VASP
&SYSTEM
  ibrav = 0, nat = 10, ntyp = 3
/
ATOMIC_SPECIES
Rb 85.47 Rb.upf
Hf 178.49 Hf.upf
Sc 44.96 Sc.upf
ATOMIC_POSITIONS crystal
Rb 0.000 0.000 0.000
Rb 0.500 0.500 0.000
Hf 0.167 0.333 0.500
Hf 0.333 0.833 0.500
Hf 0.667 0.167 0.500
Hf 0.833 0.667 0.500
Sc 0.116 0.616 0.000
Sc 0.384 0.116 0.000
Sc 0.616 0.884 0.000
Sc 0.884 0.384 0.000
CELL_PARAMETERS angstrom
9.501 0.000 0.000
0.000 9.501 0.000
0.000 0.000 3.123
! Energy of formation ... 0.638 eV per atom
! Density of states at the Fermi level ... 5.85 states/eV/f.u.
! Space group ... P4/mbm (127)

=====

No. 7
! NaAc2Au GGA-PBE relaxed; values from VASP
&SYSTEM
  ibrav = 0, nat = 4, ntyp = 3
/
ATOMIC_SPECIES
Na 22.99 Na.upf
Ac 227.00 Ac.upf
Au 196.97 Au.upf
ATOMIC_POSITIONS crystal
Na 0.000 0.000 0.000
Ac 0.500 0.500 0.299
Ac 0.500 0.500 0.701
Au 0.000 0.000 0.500
CELL_PARAMETERS angstrom
3.938 0.000 0.000
0.000 3.938 0.000
0.000 0.000 9.236
! Energy of formation ... -0.296 eV per atom
! Density of states at the Fermi level ... 4.02 states/eV/f.u.
! Space group ... P4/mmm (123)

=====

No. 8
! Pm3UTl3S8 GGA-PBE relaxed; values from VASP
&SYSTEM
  ibrav = 0, nat = 15, ntyp = 4
/
ATOMIC_SPECIES
Pm 145.00 Pm.upf
U 238.03 U.upf
Tl 204.38 Tl.upf
S 32.06 S.upf
ATOMIC_POSITIONS crystal
Pm 0.000 0.500 0.500
Pm 0.500 0.000 0.500
Pm 0.500 0.500 0.000
U 0.000 0.000 0.000
Tl 0.000 0.000 0.500
Tl 0.000 0.500 0.000
Tl 0.500 0.000 0.000
S 0.225 0.225 0.745
S 0.225 0.745 0.225
S 0.255 0.775 0.775
S 0.266 0.266 0.266
S 0.734 0.734 0.734
S 0.745 0.225 0.225
S 0.775 0.255 0.775
S 0.775 0.775 0.255
CELL_PARAMETERS angstrom
4.113 2.374 7.559
-4.113 2.374 7.559
0.000 -4.749 7.559
! Density of states at the Fermi level ... 5.92 states/eV/f.u.
! Space group ... R-3m (166)
! ΔE_f (raw) ... -1444 meV/atom

=====

No. 9
! CuSnSbO5 GGA-PBE relaxed; values from VASP
&SYSTEM
  ibrav = 0, nat = 16, ntyp = 4
/
ATOMIC_SPECIES
Cu 63.55 Cu.upf
Sn 118.71 Sn.upf
Sb 121.76 Sb.upf
O 16.00 O.upf
ATOMIC_POSITIONS crystal
Cu 0.176 0.824 0.750
Cu 0.824 0.176 0.250
Sn 0.500 0.500 0.000
Sn 0.500 0.500 0.500
Sb 0.187 0.813 0.250
Sb 0.813 0.187 0.750
O 0.175 0.217 0.848
O 0.217 0.175 0.348
O 0.238 0.735 0.503
O 0.265 0.762 0.997
O 0.434 0.566 0.250
O 0.566 0.434 0.750
O 0.735 0.238 0.003
O 0.762 0.265 0.497
O 0.783 0.825 0.652
O 0.825 0.783 0.152
CELL_PARAMETERS angstrom
3.874 -4.258 0.000
3.874 4.258 0.000
-3.611 0.000 6.882
! Density of states at the Fermi level ... 4.26 states/eV/f.u.
! Space group ... C2/c (15)
! ΔE_f (raw) ... -1099 meV/atom

=====

No. 10
! KNa2PuBr8 GGA-PBE relaxed; values from VASP
&SYSTEM
  ibrav = 0, nat = 12, ntyp = 4
/
ATOMIC_SPECIES
K 39.10 K.upf
Na 22.99 Na.upf
Pu 244.00 Pu.upf
Br 79.90 Br.upf
ATOMIC_POSITIONS crystal
K 0.000 0.000 0.000
Na 0.500 0.500 0.263
Na 0.500 0.500 0.737
Pu 0.000 0.000 0.500
Br 0.242 0.855 0.292
Br 0.243 0.856 0.709
Br 0.246 0.332 0.500
Br 0.246 0.475 0.000
Br 0.754 0.525 0.000
Br 0.754 0.668 0.500
Br 0.757 0.144 0.291
Br 0.758 0.145 0.708
CELL_PARAMETERS angstrom
6.346 0.000 0.000
-0.305 7.072 0.000
-0.015 -0.003 9.624
! Density of states at the Fermi level ... 9.23 states/eV/f.u.
! Space group ... P-1 (2)
! ΔE_f (raw) ... -1305 meV/atom

=====

No. 11
! Tm4SbTe2S GGA-PBE relaxed; values from VASP
&SYSTEM
  ibrav = 0, nat = 8, ntyp = 4
/
ATOMIC_SPECIES
Tm 168.93 Tm.upf
Sb 121.76 Sb.upf
Te 127.60 Te.upf
S 32.06 S.upf
ATOMIC_POSITIONS crystal
Tm 0.218 0.000 0.212
Tm 0.235 0.500 0.776
Tm 0.765 0.500 0.224
Tm 0.782 0.000 0.788
Sb 0.500 0.000 0.000
Te 0.000 0.000 0.500
Te 0.500 0.500 0.500
S 0.000 0.500 0.000
CELL_PARAMETERS angstrom
7.256 0.000 0.000
0.000 4.166 0.000
-2.405 0.000 6.984
! Density of states at the Fermi level ... 3.31 states/eV/f.u.
! Space group ... P2/m (10)
! ΔE_f (raw) ... -1339 meV/atom

=====

No. 12
! TaCu2SbI GGA-PBE relaxed; values from VASP
&SYSTEM
  ibrav = 0, nat = 5, ntyp = 4
/
ATOMIC_SPECIES
Ta 180.95 Ta.upf
Cu 63.55 Cu.upf
Sb 121.76 Sb.upf
I 126.90 I.upf
ATOMIC_POSITIONS crystal
Ta 0.000 0.000 0.000
Cu 0.000 0.500 0.500
Cu 0.500 0.000 0.500
Sb 0.500 0.500 0.500
I 0.500 0.500 0.000
CELL_PARAMETERS angstrom
4.745 0.000 0.000
0.000 4.745 0.000
0.000 0.000 6.367
! Density of states at the Fermi level ... 4.53 states/eV/f.u.
! Space group ... P4/mmm (123)
! ΔE_f (raw) ... 1428 meV/atom

=====

No. 13
! HfScNi2 GGA-PBE relaxed; values from VASP
&SYSTEM
  ibrav = 0, nat = 8, ntyp = 3
/
ATOMIC_SPECIES
Hf 178.49 Hf.upf
Sc 44.96 Sc.upf
Ni 58.69 Ni.upf
ATOMIC_POSITIONS crystal
Hf 0.000 0.000 0.000
Hf 0.750 0.250 0.500
Sc 0.250 0.750 0.500
Sc 0.500 0.500 0.000
Ni 0.121 0.125 0.496
Ni 0.375 0.879 0.004
Ni 0.629 0.625 0.504
Ni 0.875 0.371 0.996
CELL_PARAMETERS angstrom
-3.453 3.453 2.850
3.453 -3.453 2.850
3.453 3.453 -2.850
! Energy of formation ... 0.020 eV per atom
! Density of states at the Fermi level ... 6.06 states/eV/f.u.
! Space group ... I-42d (122)

=====

No. 14
! AgTe2Mo GGA-PBE relaxed; values from VASP
&SYSTEM
  ibrav = 0, nat = 4, ntyp = 3
/
ATOMIC_SPECIES
Ag 107.87 Ag.upf
Te 127.60 Te.upf
Mo 95.94 Mo.upf
ATOMIC_POSITIONS crystal
Ag 0.000 0.000 0.000
Te 0.421 0.421 0.421
Te 0.579 0.579 0.579
Mo 0.500 0.500 0.500
CELL_PARAMETERS angstrom
1.532 0.884 11.677
-1.532 0.884 11.677
0.000 -1.769 11.677
! Density of states at the Fermi level ... 3.74 states/eV/f.u.
! Space group ... R-3m (166)
! ΔE_f (raw) ... 695 meV/atom

=====

No. 15
! Ba2PmTl2O6 GGA-PBE relaxed; values from VASP
&SYSTEM
  ibrav = 0, nat = 11, ntyp = 4
/
ATOMIC_SPECIES
Ba 137.33 Ba.upf
Pm 145.00 Pm.upf
Tl 204.38 Tl.upf
O 16.00 O.upf
ATOMIC_POSITIONS crystal
Ba 0.199 0.199 0.199
Ba 0.801 0.801 0.801
Pm 0.000 0.000 0.000
Tl 0.402 0.402 0.402
Tl 0.598 0.598 0.598
O 0.207 0.763 0.763
O 0.237 0.237 0.793
O 0.237 0.793 0.237
O 0.763 0.207 0.763
O 0.763 0.763 0.207
O 0.793 0.237 0.237
CELL_PARAMETERS angstrom
3.284 1.896 6.195
-3.284 1.896 6.195
0.000 -3.792 6.195
! Density of states at the Fermi level ... 3.97 states/eV/f.u.
! Space group ... R-3m (166)
! ΔE_f (raw) ... -1779 meV/atom

=====

No. 16
! As2OsBr GGA-PBE relaxed; values from VASP
&SYSTEM
  ibrav = 0, nat = 4, ntyp = 3
/
ATOMIC_SPECIES
As 74.92 As.upf
Os 190.23 Os.upf
Br 79.90 Br.upf
ATOMIC_POSITIONS crystal
As 0.235 0.235 0.235
As 0.765 0.765 0.765
Os 0.500 0.500 0.500
Br 0.000 0.000 0.000
CELL_PARAMETERS angstrom
1.718 0.992 7.831
-1.718 0.992 7.831
0.000 -1.983 7.831
! Density of states at the Fermi level ... 4.06 states/eV/f.u.
! Space group ... R-3m (166)
! ΔE_f (raw) ... 220 meV/atom

=====

No. 17
! TmSc2Ga6 GGA-PBE relaxed; values from VASP
&SYSTEM
  ibrav = 0, nat = 9, ntyp = 3
/
ATOMIC_SPECIES
Tm 168.93 Tm.upf
Sc 44.96 Sc.upf
Ga 69.72 Ga.upf
ATOMIC_POSITIONS crystal
Tm 0.000 0.000 0.000
Sc 0.333 0.667 0.000
Sc 0.667 0.333 0.000
Ga 0.000 0.336 0.500
Ga 0.000 0.664 0.500
Ga 0.336 0.000 0.500
Ga 0.336 0.336 0.500
Ga 0.664 0.000 0.500
Ga 0.664 0.664 0.500
CELL_PARAMETERS angstrom
7.607 0.000 0.000
-3.804 6.588 0.000
0.000 0.000 3.308
! Energy of formation ... -0.560 eV per atom
! Density of states at the Fermi level ... 1.93 states/eV/f.u.
! Space group ... P6/mmm (191)

=====

No. 18
! TbYRuPb GGA-PBE relaxed; values from VASP
&SYSTEM
  ibrav = 0, nat = 4, ntyp = 4
/
ATOMIC_SPECIES
Tb 158.93 Tb.upf
Y 88.91 Y.upf
Ru 101.07 Ru.upf
Pb 207.20 Pb.upf
ATOMIC_POSITIONS crystal
Tb 0.000 0.000 0.000
Y 0.500 0.500 0.500
Ru 0.250 0.250 0.250
Pb 0.750 0.750 0.750
CELL_PARAMETERS angstrom
0.000 3.630 3.630
3.630 0.000 3.630
3.630 3.630 0.000
! Energy of formation ... -0.271 eV per atom
! Density of states at the Fermi level ... 2.35 states/eV/f.u.
! Space group ... F-43m (216)

=====

No. 19
! AlCrPtRh GGA-PBE relaxed; values from VASP
&SYSTEM
  ibrav = 0, nat = 4, ntyp = 4
/
ATOMIC_SPECIES
Al 26.98 Al.upf
Cr 52.00 Cr.upf
Pt 195.08 Pt.upf
Rh 102.91 Rh.upf
ATOMIC_POSITIONS crystal
Al 0.000 0.000 0.000
Cr 0.500 0.500 0.500
Pt 0.250 0.250 0.250
Rh 0.750 0.750 0.750
CELL_PARAMETERS angstrom
0.000 3.060 3.060
3.060 0.000 3.060
3.060 3.060 0.000
! Energy of formation ... -0.564 eV per atom
! Density of states at the Fermi level ... 2.50 states/eV/f.u.
! Space group ... F-43m (216)

=====

No. 20
! ScTeAs2Pb GGA-PBE relaxed; values from VASP
&SYSTEM
  ibrav = 0, nat = 5, ntyp = 4
/
ATOMIC_SPECIES
Sc 44.96 Sc.upf
Te 127.60 Te.upf
As 74.92 As.upf
Pb 207.20 Pb.upf
ATOMIC_POSITIONS crystal
Sc 0.000 0.000 0.000
Te 0.500 0.500 0.500
As 0.000 0.500 0.000
As 0.500 0.000 0.000
Pb 0.000 0.000 0.500
CELL_PARAMETERS angstrom
5.056 0.000 0.000
0.000 5.056 0.000
0.000 0.000 5.931
! Density of states at the Fermi level ... 5.93 states/eV/f.u.
! Space group ... P4/mmm (123)
! ΔE_f (raw) ... 216 meV/atom

=====

No. 21
! Ca3Cu3Ni GGA-PBE relaxed; values from VASP
&SYSTEM
  ibrav = 0, nat = 14, ntyp = 3
/
ATOMIC_SPECIES
Ca 40.08 Ca.upf
Cu 63.55 Cu.upf
Ni 58.69 Ni.upf
ATOMIC_POSITIONS crystal
Ca 0.015 0.015 0.387
Ca 0.111 0.111 0.922
Ca 0.241 0.241 0.237
Ca 0.759 0.759 0.763
Ca 0.889 0.889 0.078
Ca 0.985 0.985 0.613
Cu 0.306 0.306 0.464
Cu 0.407 0.407 0.924
Cu 0.464 0.464 0.769
Cu 0.536 0.536 0.231
Cu 0.593 0.593 0.076
Cu 0.694 0.694 0.536
Ni 0.280 0.280 0.624
Ni 0.720 0.720 0.376
CELL_PARAMETERS angstrom
5.253 -2.044 0.000
5.253 2.044 0.000
-4.269 0.000 14.002
! Energy of formation ... -0.124 eV per atom
! Density of states at the Fermi level ... 3.66 states/eV/f.u.
! Space group ... C2/m (12)

=====

No. 22
! Li5Pd5Pb2 GGA-PBE relaxed; values from VASP
&SYSTEM
  ibrav = 0, nat = 12, ntyp = 3
/
ATOMIC_SPECIES
Li 6.94 Li.upf
Pd 106.42 Pd.upf
Pb 207.20 Pb.upf
ATOMIC_POSITIONS crystal
Li 0.000 0.000 0.000
Li 0.110 0.110 0.766
Li 0.159 0.159 0.496
Li 0.841 0.841 0.504
Li 0.890 0.890 0.234
Pd 0.249 0.249 0.246
Pd 0.341 0.341 0.002
Pd 0.500 0.500 0.500
Pd 0.659 0.659 0.998
Pd 0.751 0.751 0.754
Pb 0.417 0.417 0.746
Pb 0.583 0.583 0.254
CELL_PARAMETERS angstrom
5.133 -2.171 0.000
5.133 2.171 0.000
-3.356 0.000 8.836
! Energy of formation ... -0.390 eV per atom
! Density of states at the Fermi level ... 5.06 states/eV/f.u.
! Space group ... C2/m (12)

=====

No. 23
! Pm12Pt6F GGA-PBE relaxed; values from VASP
&SYSTEM
  ibrav = 0, nat = 19, ntyp = 3
/
ATOMIC_SPECIES
Pm 145.00 Pm.upf
Pt 195.08 Pt.upf
F 19.00 F.upf
ATOMIC_POSITIONS crystal
Pm 0.037 0.683 0.917
Pm 0.083 0.963 0.317
Pm 0.181 0.416 0.576
Pm 0.317 0.083 0.963
Pm 0.416 0.576 0.181
Pm 0.424 0.819 0.584
Pm 0.576 0.181 0.416
Pm 0.584 0.424 0.819
Pm 0.683 0.917 0.037
Pm 0.819 0.584 0.424
Pm 0.917 0.037 0.683
Pm 0.963 0.317 0.083
Pt 0.124 0.623 0.302
Pt 0.302 0.124 0.623
Pt 0.377 0.698 0.876
Pt 0.623 0.302 0.124
Pt 0.698 0.876 0.377
Pt 0.876 0.377 0.698
F 0.000 0.000 0.000
CELL_PARAMETERS angstrom
6.279 3.625 4.027
-6.279 3.625 4.027
0.000 -7.250 4.027
! Density of states at the Fermi level ... 21.64 states/eV/f.u.
! Space group ... R-3 (148)
! ΔE_f (raw) ... -935 meV/atom